DFT (PBE-GGA) results for a relaxed structure of Pr2CdAs.

Calculated values
Magnetization in μB per cell: 0.000
ΔE to the lowest computed polymorph in meV per atom: 36
DOS(E_F) in states/eV/atom: 0.794
Formation enthalpy at 0 K in eV/atom: -0.7743

```
data_Pr2CdAs
_cell_length_a 4.2228
_cell_length_b 4.2228
_cell_length_c 24.0381
_cell_angle_alpha 90.00
_cell_angle_beta 90.00
_cell_angle_gamma 120.00
_space_group_name_H-M_alt 'R 3 m'
_space_group_IT_number 160
_space_group_name_Hall 'R 3 -2"'
loop_
_atom_site_label
_atom_site_fract_x
_atom_site_fract_y
_atom_site_fract_z
_atom_site_occupancy
Pr1 0.0000 0.0000 0.0000 1
Pr2 0.0000 0.0000 0.1930 1
Cd1 0.0000 0.0000 0.7636 1
As1 0.0000 0.0000 0.5963 1
```


DFT (PBE-GGA) results for a relaxed structure of Sn2BiPb.

Calculated values
Magnetization in μB per cell: 0.000
ΔE to the lowest computed polymorph in meV per atom: 0
DOS(E_F) in states/eV/atom: 0.563
Formation enthalpy at 0 K in eV/atom: 0.0639

```
data_Sn2BiPb
_cell_length_a 4.153
_cell_length_b 4.153
_cell_length_c 6.934
_cell_angle_alpha 90.00
_cell_angle_beta 90.00
_cell_angle_gamma 90.00
_space_group_name_H-M_alt 'P 4/m m m'
_space_group_IT_number 123
_space_group_name_Hall '-P 4 2'
loop_
_atom_site_label
_atom_site_fract_x
_atom_site_fract_y
_atom_site_fract_z
_atom_site_occupancy
Sn1 0.000 0.000 0.242 1
Bi1 0.500 0.500 0.000 1
Pb1 0.500 0.500 0.500 1
```


DFT (PBE-GGA) results for a relaxed structure of Re2HgRuC.

Calculated values
Magnetization in μB per cell: 0.000
DOS(E_F) in states/eV/atom: 1.131
Formation enthalpy at 0 K in eV/atom: 2.0711

```
data_Re2HgRuC
_cell_length_a 4.864
_cell_length_b 4.864
_cell_length_c 3.776
_cell_angle_alpha 90.00
_cell_angle_beta 90.00
_cell_angle_gamma 90.00
_space_group_name_H-M_alt 'P 4/m m m'
_space_group_IT_number 123
_space_group_name_Hall '-P 4 2'
loop_
_atom_site_label
_atom_site_fract_x
_atom_site_fract_y
_atom_site_fract_z
_atom_site_occupancy
Re1 0.000 0.500 0.000 1
Hg1 0.000 0.000 0.500 1
Ru1 0.500 0.500 0.000 1
C1 0.500 0.500 0.500 1
```


DFT (PBE-GGA) results for a relaxed structure of LaCoOs4.

Calculated values
Magnetization in μB per cell: 12.815
DOS(E_F) in states/eV/atom: 1.688
Formation enthalpy at 0 K in eV/atom: 0.5189

```
data_LaCoOs4
_cell_length_a 7.508
_cell_length_b 7.508
_cell_length_c 7.508
_cell_angle_alpha 90.00
_cell_angle_beta 90.00
_cell_angle_gamma 90.00
_space_group_name_H-M_alt 'F -4 3 m'
_space_group_IT_number 216
_space_group_name_Hall 'F -4 2 3'
loop_
_atom_site_label
_atom_site_fract_x
_atom_site_fract_y
_atom_site_fract_z
_atom_site_occupancy
La1 0.000 0.000 0.000 1
Co1 0.250 0.250 0.750 1
Os1 0.124 0.124 0.376 1
```


DFT (PBE-GGA) results for a relaxed structure of FeTcBr2.

Calculated values
Magnetization in μB per cell: 8.390
ΔE to the lowest computed polymorph in meV per atom: 447
DOS(E_F) in states/eV/atom: 0.568
Formation energy without anion corrections in meV/atom: 600.7

```
data_FeTcBr2
_cell_length_a 3.172
_cell_length_b 4.521
_cell_length_c 11.726
_cell_angle_alpha 90.00
_cell_angle_beta 90.00
_cell_angle_gamma 90.00
_space_group_name_H-M_alt 'I m m 2'
_space_group_IT_number 44
_space_group_name_Hall 'I 2 -2'
loop_
_atom_site_label
_atom_site_fract_x
_atom_site_fract_y
_atom_site_fract_z
_atom_site_occupancy
Fe1 0.000 0.000 0.000 1
Tc1 0.000 0.500 0.658 1
Br1 0.000 0.000 0.356 1
Br2 0.000 0.500 0.137 1
```


DFT (PBE-GGA) results for a relaxed structure of Li2BeHRh.

Calculated values
Magnetization in μB per cell: 0.000
Uncorrected energy in eV/atom: -3.8829
DOS(E_F) in states/eV/atom: 0.435

```
data_Li2BeHRh
_cell_length_a 3.483
_cell_length_b 3.483
_cell_length_c 3.949
_cell_angle_alpha 90.00
_cell_angle_beta 90.00
_cell_angle_gamma 90.00
_space_group_name_H-M_alt 'P 4/m m m'
_space_group_IT_number 123
_space_group_name_Hall '-P 4 2'
loop_
_atom_site_label
_atom_site_fract_x
_atom_site_fract_y
_atom_site_fract_z
_atom_site_occupancy
Li1 0.000 0.500 0.000 1
Be1 0.000 0.000 0.500 1
H1 0.500 0.500 0.000 1
Rh1 0.500 0.500 0.500 1
```


DFT (PBE-GGA) results for a relaxed structure of PmAlAu.

Calculated values
Magnetization in μB per cell: 0.003
ΔE to the lowest computed polymorph in meV per atom: 217
DOS(E_F) in states/eV/atom: 1.985
Formation enthalpy at 0 K in eV/atom: -0.5403

```
data_PmAlAu
_cell_length_a 6.734
_cell_length_b 6.734
_cell_length_c 6.734
_cell_angle_alpha 90.00
_cell_angle_beta 90.00
_cell_angle_gamma 90.00
_space_group_name_H-M_alt 'F -4 3 m'
_space_group_IT_number 216
_space_group_name_Hall 'F -4 2 3'
loop_
_atom_site_label
_atom_site_fract_x
_atom_site_fract_y
_atom_site_fract_z
_atom_site_occupancy
Pm1 0.000 0.000 0.000 1
Al1 0.000 0.000 0.500 1
Au1 0.250 0.250 0.250 1
```


DFT (PBE-GGA) results for a relaxed structure of KSb2Os.

Calculated values
Magnetization in μB per cell: 0.000
ΔE to the lowest computed polymorph in meV per atom: 218
DOS(E_F) in states/eV/atom: 0.549
Formation energy without anion corrections in meV/atom: 261.4

```
data_KSb2Os
_cell_length_a 7.531
_cell_length_b 7.531
_cell_length_c 10.830
_cell_angle_alpha 90.00
_cell_angle_beta 90.00
_cell_angle_gamma 90.00
_space_group_name_H-M_alt 'I -4 2 d'
_space_group_IT_number 122
_space_group_name_Hall 'I -4 2bw'
loop_
_atom_site_label
_atom_site_fract_x
_atom_site_fract_y
_atom_site_fract_z
_atom_site_occupancy
K1 0.000 0.000 0.000 1
Sb1 0.132 0.250 0.625 1
Os1 0.000 0.000 0.500 1
```


| no. | volume (Å³/atom) |
| --- | --- |
| 1 | 30.935 |
| 2 | 29.896 |
| 3 | 17.871 |
| 4 | 17.633 |
| 5 | 21.019 |
| 6 | 9.581 |
| 7 | 25.445 |
| 8 | 38.389 |